# 1
{
  "formula": "Tb2Sm3ErS6",
  "functional": "PBE",
  "state": "optimized geometry",
  "formation_energy_uncorrected_ev_per_atom": -2.013,
  "vol_a3_per_cell": 263,
  "lattice": [[3.4127, -5.9334, 0.0000], [3.4127, 5.9334, 0.0000], [-2.2811, 0.0000, 6.4918]],
  "species": ["Tb", "Tb", "Sm", "Sm", "Sm", "Er", "S", "S", "S", "S", "S", "S"],
  "frac_coords": [[0.1668, 0.8332, 0.0000], [0.8332, 0.1668, 0.0000], [0.0000, 0.0000, 0.5000], [0.3314, 0.6686, 0.5000], [0.6686, 0.3314, 0.5000], [0.5000, 0.5000, 0.0000], [0.0906, 0.4202, 0.7603], [0.2508, 0.2508, 0.2413], [0.4202, 0.0906, 0.7603], [0.5798, 0.9094, 0.2397], [0.7492, 0.7492, 0.7587], [0.9094, 0.5798, 0.2397]]
}

# 2
{
  "formula": "Tb3SmEr4S8",
  "functional": "PBE",
  "state": "optimized geometry",
  "formation_energy_uncorrected_ev_per_atom": -1.981,
  "vol_a3_per_cell": 337,
  "lattice": [[3.8989, 2.2510, 6.4066], [-3.8989, 2.2510, 6.4066], [0.0000, -4.5020, 6.4066]],
  "species": ["Tb", "Tb", "Tb", "Sm", "Er", "Er", "Er", "Er", "S", "S", "S", "S", "S", "S", "S", "S"],
  "frac_coords": [[0.0000, 0.5000, 0.5000], [0.5000, 0.0000, 0.5000], [0.5000, 0.5000, 0.0000], [0.0000, 0.0000, 0.0000], [0.0000, 0.0000, 0.5000], [0.0000, 0.5000, 0.0000], [0.5000, 0.0000, 0.0000], [0.5000, 0.5000, 0.5000], [0.2478, 0.2478, 0.2478], [0.2503, 0.7452, 0.7452], [0.2548, 0.2548, 0.7497], [0.2548, 0.7497, 0.2548], [0.7452, 0.2503, 0.7452], [0.7452, 0.7452, 0.2503], [0.7497, 0.2548, 0.2548], [0.7522, 0.7522, 0.7522]]
}

# 3
{
  "formula": "TbSm4Er3S8",
  "functional": "PBE",
  "state": "optimized geometry",
  "formation_energy_uncorrected_ev_per_atom": -1.996,
  "vol_a3_per_cell": 348,
  "lattice": [[3.9236, 2.2653, 6.5191], [-3.9236, 2.2653, 6.5191], [0.0000, -4.5306, 6.5191]],
  "species": ["Tb", "Sm", "Sm", "Sm", "Sm", "Er", "Er", "Er", "S", "S", "S", "S", "S", "S", "S", "S"],
  "frac_coords": [[0.0000, 0.0000, 0.0000], [0.0000, 0.0000, 0.5000], [0.0000, 0.5000, 0.0000], [0.5000, 0.0000, 0.0000], [0.5000, 0.5000, 0.5000], [0.0000, 0.5000, 0.5000], [0.5000, 0.0000, 0.5000], [0.5000, 0.5000, 0.0000], [0.2472, 0.2472, 0.7427], [0.2472, 0.7427, 0.2472], [0.2550, 0.2550, 0.2550], [0.2573, 0.7528, 0.7528], [0.7427, 0.2472, 0.2472], [0.7450, 0.7450, 0.7450], [0.7528, 0.2573, 0.7528], [0.7528, 0.7528, 0.2573]]
}

# 4
{
  "formula": "TbSm2ErS5",
  "functional": "PBE",
  "state": "optimized geometry",
  "formation_energy_uncorrected_ev_per_atom": -1.420,
  "vol_a3_per_cell": 241,
  "lattice": [[4.8466, 0.0000, 0.0000], [0.0000, 4.8466, 0.0000], [0.0000, 0.0000, 10.2570]],
  "species": ["Tb", "Sm", "Sm", "Er", "S", "S", "S", "S", "S"],
  "frac_coords": [[0.0000, 0.0000, 0.0000], [0.5000, 0.5000, 0.3133], [0.5000, 0.5000, 0.6867], [0.0000, 0.0000, 0.5000], [0.0000, 0.0000, 0.2471], [0.0000, 0.0000, 0.7529], [0.0000, 0.5000, 0.5000], [0.5000, 0.0000, 0.5000], [0.5000, 0.5000, 0.0000]]
}

# 5
{
  "formula": "TbSm3Er2S6",
  "functional": "PBE",
  "state": "optimized geometry",
  "formation_energy_uncorrected_ev_per_atom": -2.005,
  "vol_a3_per_cell": 261,
  "lattice": [[3.4001, -5.9108, 0.0000], [3.4001, 5.9108, 0.0000], [-2.2727, 0.0000, 6.4912]],
  "species": ["Tb", "Sm", "Sm", "Sm", "Er", "Er", "S", "S", "S", "S", "S", "S"],
  "frac_coords": [[0.0000, 0.0000, 0.0000], [0.1649, 0.8351, 0.5000], [0.5000, 0.5000, 0.5000], [0.8351, 0.1649, 0.5000], [0.3335, 0.6665, 0.0000], [0.6665, 0.3335, 0.0000], [0.0794, 0.4165, 0.2385], [0.2581, 0.2581, 0.7629], [0.4165, 0.0794, 0.2385], [0.5835, 0.9206, 0.7615], [0.7419, 0.7419, 0.2371], [0.9206, 0.5835, 0.7615]]
}

# 6
{
  "formula": "TbSm4ErS8",
  "functional": "PBE",
  "state": "optimized geometry",
  "formation_energy_uncorrected_ev_per_atom": -1.921,
  "vol_a3_per_cell": 386,
  "lattice": [[4.0876, 2.3600, 6.6632], [-4.0876, 2.3600, 6.6632], [0.0000, -4.7199, 6.6632]],
  "species": ["Tb", "Sm", "Sm", "Sm", "Sm", "Er", "S", "S", "S", "S", "S", "S", "S", "S"],
  "frac_coords": [[0.0000, 0.0000, 0.0000], [0.9999, 0.9999, 0.5038], [0.9999, 0.5038, 0.9999], [0.3764, 0.3764, 0.3764], [0.5038, 0.9999, 0.9999], [0.6257, 0.6257, 0.6257], [0.2364, 0.7585, 0.7585], [0.2396, 0.2396, 0.7770], [0.2396, 0.7770, 0.2396], [0.2434, 0.2434, 0.2434], [0.7548, 0.7548, 0.7548], [0.7585, 0.2364, 0.7585], [0.7585, 0.7585, 0.2364], [0.7770, 0.2396, 0.2396]]
}